1.
PmAg4Pb: relaxed, PBE.

Cell: 5.7168 5.7168 5.7168 Å, 60.00 60.00 60.00°
Positions (direct):
Ag: 0.6247 0.1259 0.6247
Ag: 0.6247 0.6247 0.1259
Ag: 0.6247 0.6247 0.6247
Ag: 0.1259 0.6247 0.6247
Pb: 0.0000 0.0000 0.0000
Pm: 0.2500 0.2500 0.2500

## Properties
**Formation energy**: -0.1626 eV per atom
**Magnetization**: 0.000 μB/atom

***

2.
PaNbRhO6: relaxed, PBE.

Cell: 5.5604 5.5604 8.6966 Å, 90.00 90.00 120.00°
Positions (direct):
O: 0.6699 0.0222 0.3714
O: 0.9778 0.6477 0.3714
O: 0.6699 0.6477 0.1286
O: 0.3523 0.3301 0.3714
O: 0.3301 0.9778 0.6286
O: 0.0222 0.3523 0.6286
O: 0.6477 0.6699 0.6286
O: 0.0222 0.6699 0.8714
O: 0.9778 0.3301 0.1286
O: 0.6477 0.9778 0.8714
O: 0.3301 0.3523 0.8714
O: 0.3523 0.0222 0.1286
Rh: 0.0000 0.0000 0.0000
Rh: 0.0000 0.0000 0.5000
Nb: 0.6667 0.3333 0.2500
Nb: 0.3333 0.6667 0.7500
Pa: 0.3333 0.6667 0.2500
Pa: 0.6667 0.3333 0.7500

## Properties
**Raw formation energy**: -2.250 eV/atom
**Magnetization**: 0.115 μB/atom

***

| no. | theoretical density (g/cm³) | V (Å³/f.u.) |
| --- | --- | --- |
| 1 | 9.9 | 132.1 |
| 2 | 7.5 | 116.4 |